*A*
The following is a DFT calculation (GGA-PBE) of an optimized crystal structure of AlCoAs3.

Values from the calculation:
**V**: 109 Å³/cell
**M_tot**: 1.45 Bohr magnetons per cell

```
AlCoAs3
1.0
4.781 0.000 0.000
0.000 4.781 0.000
0.000 0.000 4.781
As Al Co
3 1 1
Direct
0.000 0.500 0.000 As
0.000 0.000 0.500 As
0.500 0.000 0.000 As
0.000 0.000 0.000 Al
0.500 0.500 0.500 Co
```

*B*
The following is a DFT calculation (GGA-PBE) of an optimized crystal structure of AlCoAs3.

Values from the calculation:
**V**: 98 Å³/cell
**M_tot**: 0.00 Bohr magnetons per cell

```
AlCoAs3
1.0
4.611 0.000 0.000
0.000 4.611 0.000
0.000 0.000 4.611
As Co Al
3 1 1
Direct
0.000 0.000 0.500 As
0.500 0.000 0.000 As
0.000 0.500 0.000 As
0.000 0.000 0.000 Co
0.500 0.500 0.500 Al
```

The structure with the most favorable energy is *B*; the runner-up is 568 meV/atom above it.

*A*
The following is a DFT calculation (GGA-PBE) of an optimized crystal structure of AlCoAsSe2.

Values from the calculation:
**V**: 104 Å³/cell
**M_tot**: 0.00 Bohr magnetons per cell

```
AlCoAsSe2
1.0
4.930 0.000 0.000
0.000 4.930 0.000
0.000 0.000 4.286
Se As Al Co
2 1 1 1
Direct
0.500 0.000 0.000 Se
0.000 0.500 0.000 Se
0.000 0.000 0.500 As
0.500 0.500 0.500 Al
0.000 0.000 0.000 Co
```

*B*
The following is a DFT calculation (GGA-PBE) of an optimized crystal structure of AlCoAsSe2.

Values from the calculation:
**V**: 113 Å³/cell
**M_tot**: 2.12 Bohr magnetons per cell

```
AlCoAsSe2
1.0
-0.060 -4.726 1.197
3.394 0.819 3.403
-3.420 0.855 3.206
Se As Co Al
2 1 1 1
Direct
0.000 0.500 0.000 Se
0.500 0.000 0.000 Se
0.000 0.000 0.500 As
0.500 0.500 0.500 Co
0.000 0.000 0.000 Al
```

The structure with the most favorable energy is *A*; the runner-up is 394 meV/atom above it.

*A*
The following is a DFT calculation (GGA-PBE) of an optimized crystal structure of AlCoAs2Se.

Values from the calculation:
**V**: 112 Å³/cell
**M_tot**: 1.87 Bohr magnetons per cell

```
AlCoAs2Se
1.0
4.787 0.000 0.000
0.000 4.787 0.000
0.000 0.000 4.884
As Se Co Al
2 1 1 1
Direct
0.500 0.000 0.000 As
0.000 0.500 0.000 As
0.000 0.000 0.500 Se
0.500 0.500 0.500 Co
0.000 0.000 0.000 Al
```

*B*
The following is a DFT calculation (GGA-PBE) of an optimized crystal structure of AlCoAs2Se.

Values from the calculation:
**V**: 103 Å³/cell
**M_tot**: 0.00 Bohr magnetons per cell

```
AlCoAs2Se
1.0
-2.897 -2.885 -1.659
1.536 -3.110 2.726
-3.546 1.456 3.659
As Al Co Se
2 1 1 1
Direct
0.000 0.500 0.000 As
0.500 0.000 0.000 As
0.500 0.500 0.500 Al
0.000 0.000 0.000 Co
0.000 0.000 0.500 Se
```

The structure with the most favorable energy is *B*; the runner-up is 515 meV/atom above it.

*A*
The following is a DFT calculation (GGA-PBE) of an optimized crystal structure of AlCrAs3.

Values from the calculation:
**V**: 103 Å³/cell
**M_tot**: 0.56 Bohr magnetons per cell

```
AlCrAs3
1.0
4.691 0.000 0.000
0.000 4.691 0.000
0.000 0.000 4.691
Al As Cr
1 3 1
Direct
0.500 0.500 0.500 Al
0.000 0.000 0.500 As
0.500 0.000 0.000 As
0.000 0.500 0.000 As
0.000 0.000 0.000 Cr
```

*B*
The following is a DFT calculation (GGA-PBE) of an optimized crystal structure of AlCrAs3.

Values from the calculation:
**V**: 112 Å³/cell
**M_tot**: 4.06 Bohr magnetons per cell

```
AlCrAs3
1.0
4.823 0.000 0.000
0.000 4.823 0.000
0.000 0.000 4.823
As Al Cr
3 1 1
Direct
0.000 0.000 0.500 As
0.500 0.000 0.000 As
0.000 0.500 0.000 As
0.000 0.000 0.000 Al
0.500 0.500 0.500 Cr
```

The structure with the most favorable energy is *A*; the runner-up is 310 meV/atom above it.

*A*
The following is a DFT calculation (GGA-PBE) of an optimized crystal structure of AlCr2As2.

Values from the calculation:
**V**: 79 Å³/cell
**M_tot**: 2.49 Bohr magnetons per cell

```
AlCr2As2
1.0
3.665 0.000 0.000
0.000 3.665 0.000
1.832 1.832 5.901
Al As Cr
1 2 2
Direct
0.000 0.000 0.000 Al
0.750 0.250 0.500 As
0.250 0.750 0.500 As
0.605 0.605 0.791 Cr
0.395 0.395 0.209 Cr
```

*B*
The following is a DFT calculation (GGA-PBE) of an optimized crystal structure of AlCr2As2.

Values from the calculation:
**V**: 148 Å³/cell
**M_tot**: 5.68 Bohr magnetons per cell

```
AlCr2As2
1.0
-2.808 -6.090 -1.254
4.324 -2.901 4.408
-2.088 0.477 2.362
Al As Cr
2 4 4
Direct
0.000 0.000 0.000 Al
0.500 0.500 0.000 Al
0.346 0.154 0.500 As
0.846 0.346 0.500 As
0.154 0.654 0.500 As
0.654 0.846 0.500 As
0.358 0.858 0.000 Cr
0.142 0.358 0.000 Cr
0.858 0.642 0.000 Cr
0.642 0.142 0.000 Cr
```

The structure with the most favorable energy is *B*; the runner-up is 210 meV/atom above it.

*A*
The following is a DFT calculation (GGA-PBE) of an optimized crystal structure of AlCrAsSe2.

Values from the calculation:
**V**: 112 Å³/cell
**M_tot**: 1.68 Bohr magnetons per cell

```
AlCrAsSe2
1.0
4.873 0.000 0.000
0.000 4.873 0.000
0.000 0.000 4.699
Se Cr As Al
2 1 1 1
Direct
0.000 0.500 0.000 Se
0.500 0.000 0.000 Se
0.000 0.000 0.000 Cr
0.000 0.000 0.500 As
0.500 0.500 0.500 Al
```

*B*
The following is a DFT calculation (GGA-PBE) of an optimized crystal structure of AlCrAsSe2.

Values from the calculation:
**V**: 116 Å³/cell
**M_tot**: 3.38 Bohr magnetons per cell

```
AlCrAsSe2
1.0
-3.979 -0.844 2.770
2.026 -4.174 1.640
2.015 2.403 3.626
Se As Al Cr
2 1 1 1
Direct
0.500 0.000 0.000 Se
0.000 0.500 0.000 Se
0.000 0.000 0.500 As
0.000 0.000 0.000 Al
0.500 0.500 0.500 Cr
```

The structure with the most favorable energy is *A*; the runner-up is 146 meV/atom above it.

*A*
The following is a DFT calculation (GGA-PBE) of an optimized crystal structure of Cs2AlAs.

Values from the calculation:
**V**: 332 Å³/cell
**M_tot**: 0.40 Bohr magnetons per cell

```
Cs2AlAs
1.0
-1.988 -5.434 11.328
3.086 -0.160 12.339
-3.229 5.241 -11.132
Cs As Al
4 2 2
Direct
0.623 0.125 0.998 Cs
0.875 0.873 0.498 Cs
0.127 0.625 0.002 Cs
0.375 0.377 0.502 Cs
0.000 0.000 0.000 As
0.750 0.250 0.500 As
0.500 0.500 0.000 Al
0.250 0.750 0.500 Al
```

*B*
The following is a DFT calculation (GGA-PBE) of an optimized crystal structure of Cs2AlAs.

Values from the calculation:
**V**: 160 Å³/cell
**M_tot**: 0.00 Bohr magnetons per cell

```
Cs2AlAs
1.0
0.000 4.308 4.308
4.308 0.000 4.308
4.308 4.308 0.000
Al As Cs
1 1 2
Direct
0.000 0.000 0.000 Al
0.500 0.500 0.500 As
0.250 0.250 0.250 Cs
0.750 0.750 0.750 Cs
```

The structure with the most favorable energy is *B*; the runner-up is 219 meV/atom above it.

*A*
The following is a DFT calculation (GGA-PBE) of an optimized crystal structure of CsAl3As.

Values from the calculation:
**V**: 203 Å³/cell
**M_tot**: 0.00 Bohr magnetons per cell

```
CsAl3As
1.0
5.880 0.000 0.000
0.000 5.880 0.000
0.000 0.000 5.880
Cs Al As
1 3 1
Direct
0.000 0.000 0.000 Cs
0.000 0.500 0.000 Al
0.500 0.000 0.000 Al
0.000 0.000 0.500 Al
0.500 0.500 0.500 As
```

*B*
The following is a DFT calculation (GGA-PBE) of an optimized crystal structure of CsAl3As.

Values from the calculation:
**V**: 156 Å³/cell
**M_tot**: 0.00 Bohr magnetons per cell

```
CsAl3As
1.0
5.388 0.000 0.000
0.000 5.388 0.000
0.000 0.000 5.388
Al As Cs
3 1 1
Direct
0.000 0.500 0.000 Al
0.000 0.000 0.500 Al
0.500 0.000 0.000 Al
0.000 0.000 0.000 As
0.500 0.500 0.500 Cs
```

The structure with the most favorable energy is *B*; the runner-up is 1306 meV/atom above it.

*A*
The following is a DFT calculation (GGA-PBE) of an optimized crystal structure of CsAlAsSe2.

Values from the calculation:
**V**: 137 Å³/cell
**M_tot**: 0.00 Bohr magnetons per cell

```
CsAlAsSe2
1.0
-2.395 -4.621 -0.694
3.762 -1.444 -3.365
2.629 -1.928 3.766
Cs Al Se As
1 1 2 1
Direct
0.500 0.500 0.500 Cs
0.000 0.000 0.000 Al
0.000 0.500 0.000 Se
0.500 0.000 0.000 Se
0.000 0.000 0.500 As
```

*B*
The following is a DFT calculation (GGA-PBE) of an optimized crystal structure of CsAlAsSe2.

Values from the calculation:
**V**: 222 Å³/cell
**M_tot**: 2.51 Bohr magnetons per cell

```
CsAlAsSe2
1.0
-3.472 -4.893 -0.583
3.788 -2.181 -4.253
3.204 -2.783 4.281
Se As Al Cs
2 1 1 1
Direct
0.000 0.000 0.500 Se
0.500 0.000 0.000 Se
0.000 0.500 0.000 As
0.500 0.500 0.500 Al
0.000 0.000 0.000 Cs
```

The structure with the most favorable energy is *A*; the runner-up is 1500 meV/atom above it.

*A*
The following is a DFT calculation (GGA-PBE) of an optimized crystal structure of AlCu2As.

Values from the calculation:
**V**: 60 Å³/cell
**M_tot**: 0.00 Bohr magnetons per cell

```
AlCu2As
1.0
-0.263 -4.888 6.326
-0.930 -6.780 4.141
1.906 -6.151 4.745
As Al Cu
1 1 2
Direct
0.746 0.746 0.746 As
0.506 0.506 0.506 Al
0.250 0.250 0.250 Cu
0.998 0.998 0.998 Cu
```

*B*
The following is a DFT calculation (GGA-PBE) of an optimized crystal structure of AlCu2As.

Values from the calculation:
**V**: 59 Å³/cell
**M_tot**: 0.00 Bohr magnetons per cell

```
AlCu2As
1.0
-1.271 -2.775 3.589
-0.845 -2.014 -1.857
4.032 -1.669 0.138
Cu Al As
2 1 1
Direct
0.000 0.887 0.032 Cu
0.500 0.360 0.219 Cu
0.000 0.390 0.527 Al
0.500 0.862 0.722 As
```

The structure with the most favorable energy is *B*; the runner-up is 39 meV/atom above it.

*A*
The following is a DFT calculation (GGA-PBE) of an optimized crystal structure of AlCu2As.

Values from the calculation:
**V**: 59 Å³/cell
**M_tot**: 0.00 Bohr magnetons per cell

```
AlCu2As
1.0
2.841 0.000 0.000
0.000 2.841 0.000
0.000 0.000 7.337
As Cu Al
1 2 1
Direct
0.500 0.500 0.776 As
0.500 0.500 0.244 Cu
0.000 0.000 0.021 Cu
0.000 0.000 0.459 Al
```

*B*
The following is a DFT calculation (GGA-PBE) of an optimized crystal structure of AlCu2As.

Values from the calculation:
**V**: 60 Å³/cell
**M_tot**: 0.00 Bohr magnetons per cell

```
AlCu2As
1.0
-3.782 3.578 5.964
-6.091 2.465 4.416
-4.631 0.737 6.378
As Al Cu
1 1 2
Direct
0.750 0.750 0.750 As
0.250 0.250 0.250 Al
0.000 0.000 0.000 Cu
0.500 0.500 0.500 Cu
```

The structure with the most favorable energy is *B*; the runner-up is 16 meV/atom above it.

*A*
The following is a DFT calculation (GGA-PBE) of an optimized crystal structure of AlCu2As.

Values from the calculation:
**V**: 60 Å³/cell
**M_tot**: 0.00 Bohr magnetons per cell

```
AlCu2As
1.0
0.550 -1.477 4.101
-3.399 -1.718 2.190
-0.132 -4.315 0.817
Cu Al As
2 1 1
Direct
0.750 0.750 0.750 Cu
0.250 0.250 0.250 Cu
0.000 0.000 0.000 Al
0.500 0.500 0.500 As
```

*B*
The following is a DFT calculation (GGA-PBE) of an optimized crystal structure of AlCu2As.

Values from the calculation:
**V**: 58 Å³/cell
**M_tot**: 0.00 Bohr magnetons per cell

```
AlCu2As
1.0
-3.407 -1.837 2.870
-1.264 -4.459 -1.321
4.243 2.128 0.831
As Cu Al
1 2 1
Direct
0.250 0.750 0.500 As
0.750 0.250 0.500 Cu
0.000 0.000 0.000 Cu
0.500 0.500 0.000 Al
```

The structure with the most favorable energy is *B*; the runner-up is 80 meV/atom above it.